## CdB3Sb (PBE)

Data for a relaxed structure of CdB3Sb.

abc: 4.5411 4.5411 4.5411
angles: 90.00 90.00 90.00
Sites, in units of the cell vectors:
Cd (0.0000, 0.0000, 0.0000)
B (0.0000, 0.5000, 0.5000)
B (0.5000, 0.0000, 0.5000)
B (0.5000, 0.5000, 0.0000)
Sb (0.5000, 0.5000, 0.5000)

Calculated values
- Crystal system: cubic
- E_form (uncorrected): 2.037 eV/atom